# BaCa2GeIr, relaxed, DFT PBE-GGA
# Formation energy from the elements (meV/atom): -306
# Calculated volume (Å³/f.u.): 153.3
data_BaCa2GeIr
_chemical_formula_sum 'Ba1 Ca2 Ge1 Ir1'
_space_group_name_H-M_alt 'P 4/m m m'
_space_group_IT_number 123
_space_group_name_Hall '-P 4 2'
_cell_length_a 5.602
_cell_length_b 5.602
_cell_length_c 4.884
_cell_angle_alpha 90.00
_cell_angle_beta 90.00
_cell_angle_gamma 90.00
loop_
_atom_site_label
_atom_site_fract_x
_atom_site_fract_y
_atom_site_fract_z
_atom_site_occupancy
Ba1 0.000 0.000 0.000 1
Ca1 0.000 0.500 0.500 1
Ge1 0.500 0.500 0.000 1
Ir1 0.500 0.500 0.500 1

# BaLi2Ca2Ge2, relaxed, DFT PBE-GGA
# Formation energy from the elements (meV/atom): -488
# Calculated volume (Å³/f.u.): 192.5
data_BaLi2Ca2Ge2
_chemical_formula_sum 'Ba3 Li6 Ca6 Ge6'
_space_group_name_H-M_alt 'R -3 m'
_space_group_IT_number 166
_space_group_name_Hall '-R 3 2"'
_cell_length_a 4.8437
_cell_length_b 4.8437
_cell_length_c 28.4219
_cell_angle_alpha 90.00
_cell_angle_beta 90.00
_cell_angle_gamma 120.00
loop_
_atom_site_label
_atom_site_fract_x
_atom_site_fract_y
_atom_site_fract_z
_atom_site_occupancy
Ba1 0.0000 0.0000 0.0000 1
Li1 0.0000 0.0000 0.4154 1
Ca1 0.0000 0.0000 0.1306 1
Ge1 0.0000 0.0000 0.2466 1

# BaLiCaGe, relaxed, DFT PBE-GGA
# Formation energy from the elements (meV/atom): -302
# Calculated volume (Å³/f.u.): 119.9
data_BaLiCaGe
_chemical_formula_sum 'Ba4 Li4 Ca4 Ge4'
_space_group_name_H-M_alt 'F -4 3 m'
_space_group_IT_number 216
_space_group_name_Hall 'F -4 2 3'
_cell_length_a 7.828
_cell_length_b 7.828
_cell_length_c 7.828
_cell_angle_alpha 90.00
_cell_angle_beta 90.00
_cell_angle_gamma 90.00
loop_
_atom_site_label
_atom_site_fract_x
_atom_site_fract_y
_atom_site_fract_z
_atom_site_occupancy
Ba1 0.000 0.000 0.000 1
Li1 0.250 0.250 0.750 1
Ca1 0.000 0.000 0.500 1
Ge1 0.250 0.250 0.250 1

# BaCaMgGe, relaxed, DFT PBE-GGA
# Formation energy from the elements (meV/atom): -277
# Calculated volume (Å³/f.u.): 124.5
data_BaCaMgGe
_chemical_formula_sum 'Ba4 Ca4 Mg4 Ge4'
_space_group_name_H-M_alt 'F -4 3 m'
_space_group_IT_number 216
_space_group_name_Hall 'F -4 2 3'
_cell_length_a 7.926
_cell_length_b 7.926
_cell_length_c 7.926
_cell_angle_alpha 90.00
_cell_angle_beta 90.00
_cell_angle_gamma 90.00
loop_
_atom_site_label
_atom_site_fract_x
_atom_site_fract_y
_atom_site_fract_z
_atom_site_occupancy
Ba1 0.000 0.000 0.000 1
Ca1 0.000 0.000 0.500 1
Mg1 0.250 0.250 0.250 1
Ge1 0.250 0.250 0.750 1

# Ba2CaGeN, relaxed, DFT PBE-GGA
# Calculated volume (Å³/f.u.): 150.8
# Formation energy from raw total energies (meV per atom): -450
data_Ba2CaGeN
_chemical_formula_sum 'Ba2 Ca1 Ge1 N1'
_space_group_name_H-M_alt 'P 4/m m m'
_space_group_IT_number 123
_space_group_name_Hall '-P 4 2'
_cell_length_a 5.618
_cell_length_b 5.618
_cell_length_c 4.778
_cell_angle_alpha 90.00
_cell_angle_beta 90.00
_cell_angle_gamma 90.00
loop_
_atom_site_label
_atom_site_fract_x
_atom_site_fract_y
_atom_site_fract_z
_atom_site_occupancy
Ba1 0.000 0.500 0.000 1
Ca1 0.000 0.000 0.500 1
Ge1 0.500 0.500 0.500 1
N1 0.000 0.000 0.000 1

# BaCa2GeN, relaxed, DFT PBE-GGA
# Calculated volume (Å³/f.u.): 131.2
# Formation energy from raw total energies (meV per atom): -550
data_BaCa2GeN
_chemical_formula_sum 'Ba1 Ca2 Ge1 N1'
_space_group_name_H-M_alt 'P 4/m m m'
_space_group_IT_number 123
_space_group_name_Hall '-P 4 2'
_cell_length_a 4.886
_cell_length_b 4.886
_cell_length_c 5.497
_cell_angle_alpha 90.00
_cell_angle_beta 90.00
_cell_angle_gamma 90.00
loop_
_atom_site_label
_atom_site_fract_x
_atom_site_fract_y
_atom_site_fract_z
_atom_site_occupancy
Ba1 0.000 0.000 0.000 1
Ca1 0.000 0.500 0.500 1
Ge1 0.500 0.500 0.000 1
N1 0.000 0.000 0.500 1

Q: The lowest calculated volume belongs to which entry?
A: BaLiCaGe